# 1
Crystalline ScGa3Rh4 at its relaxed geometry. Source: Alexandria via LeMat-Bulk, functional PBE-GGA.

Cell: 3.2029 4.2751 8.5257 Å, 90.00 90.00 90.00°
Last column: nearest neighbours and their distance in Å.
Element x y z (fractional)
1 Sc 0.5000 0.5000 0.0000  8 Rh 2.67-2.73
2 Rh 0.0000 0.0000 0.5000  8 Ga 2.67, 4 Rh 2.96
3 Rh 0.0000 0.5000 0.7404  6 Ga 2.60-2.67, 2 Sc 2.73
4 Rh 0.0000 0.0000 0.0000  4 Ga 2.66, 4 Sc 2.67
5 Rh 0.0000 0.5000 0.2596  6 Ga 2.60-2.67, 2 Sc 2.73
6 Ga 0.5000 0.0000 0.2496  8 Rh 2.66-2.67
7 Ga 0.5000 0.5000 0.5000  8 Rh 2.60-2.67
8 Ga 0.5000 0.0000 0.7504  8 Rh 2.66-2.67

Summary:
SG: Pmmm
E_form in eV/atom: -0.817

***

# 2
Crystalline Sc3Ga3Rh at its relaxed geometry. Source: Alexandria via LeMat-Bulk, functional PBE-GGA.

Cell: 3.8780 5.5038 13.4959 Å, 83.44 81.74 69.37°
Last column: nearest neighbours and their distance in Å.
Element x y z (fractional)
1 Sc 0.5236 0.3311 0.6217  6 Ga 2.87-3.03, 3 Rh 2.89-3.01
2 Sc 0.4764 0.6689 0.3783  6 Ga 2.87-3.03, 3 Rh 2.89-3.01
3 Sc 0.2665 0.2314 0.2356  2 Rh 2.78, 6 Ga 2.92-3.09
4 Sc 0.7335 0.7686 0.7644  2 Rh 2.78, 6 Ga 2.92-3.09
5 Sc 0.3875 0.2998 0.9252  7 Ga 2.85-3.01
6 Sc 0.6125 0.7002 0.0748  7 Ga 2.85-3.01
7 Ga 0.8642 0.7373 0.5344  3 Rh 2.47-2.65, 1 Ga 2.67
8 Ga 0.1358 0.2627 0.4656  3 Rh 2.47-2.65, 1 Ga 2.67
9 Ga 0.1106 0.8538 0.9250  2 Ga 2.59, 3 Sc 2.85-2.86
10 Ga 0.8894 0.1462 0.0750  2 Ga 2.59, 3 Sc 2.85-2.86
11 Ga 0.9873 0.8003 0.2250  1 Ga 2.59, 1 Rh 2.60, 4 Sc 2.86-2.87
12 Ga 0.0127 0.1997 0.7750  1 Ga 2.59, 1 Rh 2.60, 4 Sc 2.86-2.87
13 Rh 0.7686 0.0848 0.3780  4 Ga 2.47-2.65
14 Rh 0.2314 0.9152 0.6220  4 Ga 2.47-2.65

Summary:
SG: C2/m
E_form in eV/atom: -0.702

***

# 3
Crystalline ScGa2Rh at its relaxed geometry. Source: Alexandria via LeMat-Bulk, functional PBE-GGA.

Cell: 3.8333 3.8333 10.0859 Å, 79.05 79.05 90.00°
Last column: nearest neighbours and their distance in Å.
Element x y z (fractional)
1 Sc 0.5000 0.5000 0.0000  4 Rh 2.71, 4 Ga 2.80
2 Sc 0.2500 0.7500 0.5000  4 Rh 2.71, 4 Ga 2.80
3 Rh 0.0000 0.0000 0.0000  4 Sc 2.71, 4 Ga 2.76
4 Rh 0.7500 0.2500 0.5000  4 Sc 2.71, 4 Ga 2.76
5 Ga 0.6381 0.1250 0.2500  4 Ga 2.64-2.78, 2 Rh 2.76, 2 Sc 2.80
6 Ga 0.1119 0.6250 0.2500  4 Ga 2.64-2.78, 2 Rh 2.76, 2 Sc 2.80
7 Ga 0.3750 0.3619 0.7500  4 Ga 2.64-2.78, 2 Rh 2.76, 2 Sc 2.80
8 Ga 0.8750 0.8881 0.7500  4 Ga 2.64-2.78, 2 Rh 2.76, 2 Sc 2.80

Summary:
SG: I-42d
E_form in eV/atom: -0.395

***

# 4
Crystalline Sc4GaRh2 at its relaxed geometry. Source: Alexandria via LeMat-Bulk, functional PBE-GGA.

Cell: 4.6107 4.6107 7.8333 Å, 72.88 72.88 60.00°
Last column: nearest neighbours and their distance in Å.
Element x y z (fractional)
1 Sc 0.8700 0.8700 0.3900  4 Rh 2.73-2.88, 1 Ga 2.87
2 Sc 0.1300 0.1300 0.6100  4 Rh 2.73-2.88, 1 Ga 2.87
3 Sc 0.6175 0.6175 0.1476  4 Rh 2.75-2.85, 3 Ga 2.88
4 Sc 0.3825 0.3825 0.8524  4 Rh 2.75-2.85, 3 Ga 2.88
5 Ga 0.0000 0.0000 0.0000  8 Sc 2.87-2.88, 6 Rh 3.19
6 Rh 0.7463 0.7463 0.7609  8 Sc 2.73-2.88
7 Rh 0.2537 0.2537 0.2391  8 Sc 2.73-2.88

Summary:
SG: R-3m
E_form in eV/atom: -0.718

***

# 5
Crystalline ScGa2Rh2 at its relaxed geometry. Source: Alexandria via LeMat-Bulk, functional PBE-GGA.

Cell: 7.3383 7.3383 2.9085 Å, 90.00 90.00 90.00°
Last column: nearest neighbours and their distance in Å.
Element x y z (fractional)
1 Sc 0.0000 0.0000 0.0000  4 Ga 2.90, 2 Sc 2.91, 8 Rh 3.08
2 Sc 0.5000 0.5000 0.0000  4 Ga 2.90, 2 Sc 2.91, 8 Rh 3.08
3 Rh 0.1748 0.6748 0.5000  6 Ga 2.54-2.66
4 Rh 0.6748 0.8252 0.5000  6 Ga 2.54-2.66
5 Rh 0.8252 0.3252 0.5000  6 Ga 2.54-2.66
6 Rh 0.3252 0.1748 0.5000  6 Ga 2.54-2.66
7 Ga 0.3755 0.8755 0.0000  6 Rh 2.54-2.66, 1 Ga 2.58
8 Ga 0.8755 0.6245 0.0000  6 Rh 2.54-2.66, 1 Ga 2.58
9 Ga 0.6245 0.1245 0.0000  6 Rh 2.54-2.66, 1 Ga 2.58
10 Ga 0.1245 0.3755 0.0000  6 Rh 2.54-2.66, 1 Ga 2.58

Summary:
SG: P4/mbm
E_form in eV/atom: -0.741

***

# 6
Crystalline ScGaRh2 at its relaxed geometry. Source: Alexandria via LeMat-Bulk, functional PBE-GGA.

Cell: 6.8173 6.8173 5.6419 Å, 52.83 52.83 90.00°
Last column: nearest neighbours and their distance in Å.
Element x y z (fractional)
1 Sc 0.5000 0.5000 0.0000  4 Rh 2.63, 2 Ga 2.93
2 Sc 0.2500 0.7500 0.5000  4 Rh 2.63, 2 Ga 2.93
3 Rh 0.6481 0.1250 0.2500  2 Ga 2.42, 2 Sc 2.63
4 Rh 0.1019 0.6250 0.2500  2 Ga 2.42, 2 Sc 2.63
5 Rh 0.3750 0.3519 0.7500  2 Ga 2.42, 2 Sc 2.63
6 Rh 0.8750 0.8981 0.7500  2 Ga 2.42, 2 Sc 2.63
7 Ga 0.0000 0.0000 0.0000  4 Rh 2.42
8 Ga 0.7500 0.2500 0.5000  4 Rh 2.42

Summary:
SG: I-42d
E_form in eV/atom: -0.435